# 1
# Pu3Ga9Cu2 PBE relaxed
# - Formation energy: -309.1 meV per atom
# - DOS(E_F): 58.42 states/eV/cell
# - VASP energy: -5.91 eV/atom
data_Pu3Ga9Cu2
_symmetry_space_group_name_H-M 'I m m m'
_symmetry_Int_Tables_number 71
_symmetry_space_group_name_Hall '-I 2 2'
_cell_length_a 4.329
_cell_length_b 9.635
_cell_length_c 12.395
_cell_angle_alpha 90.00
_cell_angle_beta 90.00
_cell_angle_gamma 90.00
loop_
_atom_site_label
_atom_site_fract_x
_atom_site_fract_y
_atom_site_fract_z
_atom_site_occupancy
Pu1 0.000 0.000 0.000 1
Pu2 0.000 0.000 0.302 1
Ga1 0.000 0.281 0.137 1
Ga2 0.000 0.365 0.345 1
Ga3 0.000 0.500 0.000 1
Cu1 0.000 0.196 0.500 1

***

# 2
# Pu2Ga2Cu3 PBE relaxed
# - Formation energy: -48.7 meV per atom
# - DOS(E_F): 29.41 states/eV/cell
# - VASP energy: -6.76 eV/atom
data_Pu2Ga2Cu3
_symmetry_space_group_name_H-M 'C m m m'
_symmetry_Int_Tables_number 65
_symmetry_space_group_name_Hall '-C 2 2'
_cell_length_a 4.064
_cell_length_b 22.228
_cell_length_c 2.773
_cell_angle_alpha 90.00
_cell_angle_beta 90.00
_cell_angle_gamma 90.00
loop_
_atom_site_label
_atom_site_fract_x
_atom_site_fract_y
_atom_site_fract_z
_atom_site_occupancy
Pu1 0.000 0.136 0.000 1
Ga1 0.000 0.284 0.500 1
Cu1 0.000 0.000 0.000 1
Cu2 0.000 0.446 0.500 1

***

# 3
# Pu2GaCu3 PBE relaxed
# - Formation energy: -130.7 meV per atom
# - DOS(E_F): 42.34 states/eV/cell
# - VASP energy: -7.46 eV/atom
data_Pu2GaCu3
_symmetry_space_group_name_H-M 'R -3 m'
_symmetry_Int_Tables_number 166
_symmetry_space_group_name_Hall '-R 3 2"'
_cell_length_a 5.3514
_cell_length_b 5.3514
_cell_length_c 12.7198
_cell_angle_alpha 90.00
_cell_angle_beta 90.00
_cell_angle_gamma 120.00
loop_
_atom_site_label
_atom_site_fract_x
_atom_site_fract_y
_atom_site_fract_z
_atom_site_occupancy
Pu1 0.0000 0.0000 0.1230 1
Ga1 0.0000 0.0000 0.5000 1
Cu1 0.0000 0.5000 0.0000 1

***

# 4
# Pu3Ga2Cu7 PBE relaxed
# - Formation energy: -89.2 meV per atom
# - DOS(E_F): 73.77 states/eV/cell
# - VASP energy: -6.57 eV/atom
data_Pu3Ga2Cu7
_symmetry_space_group_name_H-M 'R -3 m'
_symmetry_Int_Tables_number 166
_symmetry_space_group_name_Hall '-R 3 2"'
_cell_length_a 5.2921
_cell_length_b 5.2921
_cell_length_c 24.6873
_cell_angle_alpha 90.00
_cell_angle_beta 90.00
_cell_angle_gamma 120.00
loop_
_atom_site_label
_atom_site_fract_x
_atom_site_fract_y
_atom_site_fract_z
_atom_site_occupancy
Pu1 0.0000 0.0000 0.0000 1
Pu2 0.0000 0.0000 0.1455 1
Ga1 0.0000 0.0000 0.3317 1
Cu1 0.0000 0.0000 0.5000 1
Cu2 0.0034 0.5017 0.0821 1

***

# 5
# Pu3GaCu2 PBE relaxed
# - Formation energy: -20.8 meV per atom
# - DOS(E_F): 18.52 states/eV/cell
# - VASP energy: -9.06 eV/atom
data_Pu3GaCu2
_symmetry_space_group_name_H-M 'P 4/m m m'
_symmetry_Int_Tables_number 123
_symmetry_space_group_name_Hall '-P 4 2'
_cell_length_a 3.754
_cell_length_b 3.754
_cell_length_c 8.871
_cell_angle_alpha 90.00
_cell_angle_beta 90.00
_cell_angle_gamma 90.00
loop_
_atom_site_label
_atom_site_fract_x
_atom_site_fract_y
_atom_site_fract_z
_atom_site_occupancy
Pu1 0.000 0.000 0.000 1
Pu2 0.000 0.000 0.329 1
Ga1 0.500 0.500 0.500 1
Cu1 0.500 0.500 0.161 1

***

# 6
# PuGa8Cu4 PBE relaxed
# - Formation energy: -184.6 meV per atom
# - DOS(E_F): 23.55 states/eV/cell
# - VASP energy: -4.41 eV/atom
data_PuGa8Cu4
_symmetry_space_group_name_H-M 'I 4/m m m'
_symmetry_Int_Tables_number 139
_symmetry_space_group_name_Hall '-I 4 2'
_cell_length_a 8.874
_cell_length_b 8.874
_cell_length_c 5.233
_cell_angle_alpha 90.00
_cell_angle_beta 90.00
_cell_angle_gamma 90.00
loop_
_atom_site_label
_atom_site_fract_x
_atom_site_fract_y
_atom_site_fract_z
_atom_site_occupancy
Pu1 0.000 0.000 0.000 1
Ga1 0.000 0.215 0.500 1
Ga2 0.000 0.346 0.000 1
Cu1 0.250 0.250 0.250 1